This record from the Alexandria database describes a relaxed structure of Y8IrPd2. The functional is PBE.

abc: 6.068 7.693 7.693
angles: 114.05 101.08 101.08
Sites, in units of the cell vectors:
Y  0.580  0.341  0.087
Y  0.165  0.358  0.358
Pd  0.491  0.317  0.697
Y  0.371  0.918  0.665
Y  0.987  0.207  0.795
Y  0.987  0.795  0.207
Y  0.371  0.665  0.918
Pd  0.491  0.697  0.317
Y  0.811  0.647  0.647
Y  0.580  0.087  0.341
Ir  0.167  0.002  0.002

Results
As for the density: 6040 kg/m3. Its formation energy is -0.400 eV/atom.

This record from the Alexandria database describes a relaxed structure of CaCoRu3. The functional is PBE.

abc: 4.549 4.549 4.549
angles: 90.00 90.00 90.00
Sites, in units of the cell vectors:
Ca  0.000  0.000  0.000
Ru  0.500  0.000  0.000
Ru  0.000  0.000  0.500
Ru  0.000  0.500  0.000
Co  0.500  0.500  0.500

Results
As for the density: 7093 kg/m3. Its formation energy is 2.690 eV/atom.

This record from the Alexandria database describes a relaxed structure of HoCu4Rh. The functional is PBE.

abc: 4.968 4.968 4.968
angles: 60.00 60.00 60.00
Sites, in units of the cell vectors:
Cu  0.624  0.128  0.624
Cu  0.624  0.624  0.624
Cu  0.624  0.624  0.128
Ho  0.000  0.000  0.000
Cu  0.128  0.624  0.624
Rh  0.250  0.250  0.250

Results
As for the density: 9999 kg/m3. Its formation energy is -0.292 eV/atom.

This record from the Alexandria database describes a relaxed structure of Tl3TeSe. The functional is PBE.

abc: 5.273 7.796 11.799
angles: 114.09 90.00 90.00
Sites, in units of the cell vectors:
Tl  0.750  0.550  0.618
Te  0.750  0.694  0.390
Tl  0.250  0.763  0.911
Se  0.750  0.904  0.831
Tl  0.750  0.237  0.089
Tl  0.250  0.450  0.382
Se  0.250  0.096  0.169
Te  0.250  0.306  0.610
Tl  0.750  0.081  0.651
Tl  0.250  0.919  0.349

Results
As for the density: 6148 kg/m3. The calculation puts the uncorrected formation energy at -242.0 meV per atom.

This record from the Alexandria database describes a relaxed structure of K2HgPb. The functional is PBE.

abc: 5.547 3.930 7.236
angles: 74.67 90.00 90.00
Sites, in units of the cell vectors:
Pb  0.000  0.681  0.509
K  0.000  0.969  0.945
K  0.500  0.281  0.304
Hg  0.500  0.569  0.741

Results
As for the density: 5305 kg/m3. Its formation energy is -0.137 eV/atom.

This record from the Alexandria database describes a relaxed structure of Pm2HoThBi5. The functional is PBE.

abc: 5.743 5.743 11.890
angles: 90.00 90.00 90.00
Sites, in units of the cell vectors:
Ho  0.000  0.000  0.000
Bi  0.000  0.000  0.758
Bi  0.000  0.500  0.500
Bi  0.500  0.500  0.000
Pm  0.500  0.500  0.277
Pm  0.500  0.500  0.723
Th  0.000  0.000  0.500
Bi  0.000  0.000  0.242
Bi  0.500  0.000  0.500

Results
As for the density: 7332 kg/m3. Its formation energy is 0.093 eV/atom.

This record from the Alexandria database describes a relaxed structure of Ba3Ti5Te12. The functional is PBE.

abc: 15.511 15.511 15.511
angles: 109.47 109.47 109.47
Last column: magnetic moment on the atom in μB.
Sites, in units of the cell vectors:
Ba  0.625  0.375  0.750  0.00
Ti  0.000  0.000  0.000  0.79
Ba  0.125  0.250  0.875  0.00
Te  0.607  0.593  0.911  -0.03
Te  0.911  0.818  0.803  -0.03
Ti  0.250  0.375  0.625  0.21
Te  0.089  0.907  0.393  -0.03
Ba  0.750  0.875  0.625  0.00
Te  0.197  0.682  0.089  -0.03
Te  0.911  0.093  0.607  -0.03
Ti  0.000  0.000  0.500  0.79
Te  0.907  0.818  0.515  -0.03
Te  0.411  0.303  0.318  -0.03
Te  0.393  0.407  0.089  -0.03
Te  0.197  0.515  0.607  -0.03
Ti  0.500  0.000  0.000  0.79
Te  0.015  0.407  0.818  -0.03
Te  0.985  0.593  0.182  -0.03
Ba  0.625  0.250  0.375  0.00
Te  0.411  0.107  0.593  -0.03
Ba  0.750  0.375  0.125  0.00
Ti  0.125  0.750  0.375  0.21
Te  0.485  0.682  0.093  -0.03
Te  0.589  0.697  0.682  -0.03
Te  0.818  0.907  0.015  -0.03
Te  0.182  0.089  0.697  -0.03
Te  0.093  0.911  0.107  -0.03
Ti  0.250  0.875  0.125  0.21
Te  0.907  0.089  0.893  -0.03
Ti  0.750  0.125  0.875  0.21
Ba  0.250  0.625  0.875  0.00
Te  0.407  0.393  0.589  -0.03
Ti  0.500  0.500  0.500  0.79
Ti  0.500  0.000  0.500  0.79
Ti  0.875  0.625  0.750  0.21
Ti  0.875  0.250  0.625  0.21
Te  0.985  0.393  0.303  -0.03
Ti  0.625  0.875  0.250  0.21
Te  0.515  0.318  0.907  -0.03
Te  0.607  0.015  0.197  -0.03
Te  0.093  0.182  0.485  -0.03
Te  0.515  0.197  0.107  -0.03
Ti  0.500  0.500  0.000  0.79
Te  0.107  0.697  0.515  -0.03
Ti  0.375  0.125  0.750  0.21
Te  0.682  0.485  0.593  -0.03
Te  0.803  0.318  0.911  -0.03
Ba  0.250  0.125  0.375  0.00
Te  0.318  0.803  0.411  -0.03
Ti  0.625  0.750  0.875  0.21
Ti  0.750  0.625  0.375  0.21
Te  0.303  0.411  0.818  -0.03
Te  0.697  0.107  0.015  -0.03
Ba  0.375  0.625  0.250  0.00
Ti  0.375  0.250  0.125  0.21
Te  0.182  0.093  0.985  -0.03
Te  0.803  0.485  0.393  -0.03
Te  0.089  0.182  0.197  -0.03
Te  0.818  0.911  0.303  -0.03
Te  0.303  0.893  0.985  -0.03
Te  0.318  0.515  0.407  -0.03
Te  0.697  0.589  0.182  -0.03
Te  0.015  0.607  0.697  -0.03
Te  0.393  0.985  0.803  -0.03
Te  0.893  0.589  0.907  -0.03
Ti  0.000  0.500  0.000  0.79
Ti  0.000  0.500  0.500  0.79
Ba  0.375  0.750  0.625  0.00
Te  0.107  0.411  0.093  -0.03
Te  0.589  0.893  0.407  -0.03
Ba  0.875  0.125  0.250  0.00
Te  0.407  0.015  0.318  -0.03
Te  0.593  0.607  0.411  -0.03
Te  0.485  0.803  0.893  -0.03
Ba  0.125  0.875  0.750  0.00
Ba  0.875  0.750  0.125  0.00
Te  0.593  0.985  0.682  -0.03
Te  0.893  0.303  0.485  -0.03
Ti  0.125  0.375  0.250  0.21
Te  0.682  0.197  0.589  -0.03

Results
As for the density: 5047 kg/m3. The calculation puts the uncorrected formation energy at -868.3 meV per atom.

This record from the Alexandria database describes a relaxed structure of Li2DyZn2Ge2. The functional is PBE.

abc: 4.223 4.223 8.159
angles: 75.00 75.00 60.00
Sites, in units of the cell vectors:
Li  0.857  0.857  0.430
Zn  0.437  0.437  0.688
Dy  0.000  0.000  0.000
Li  0.143  0.143  0.570
Zn  0.563  0.563  0.312
Ge  0.741  0.741  0.777
Ge  0.259  0.259  0.223

Results
As for the density: 6248 kg/m3. Its formation energy is -0.493 eV/atom.

This record from the Alexandria database describes a relaxed structure of Hf3BiAu. The functional is PBE.

abc: 5.150 5.150 5.150
angles: 90.00 90.00 90.00
Sites, in units of the cell vectors:
Hf  0.000  0.500  0.000
Hf  0.000  0.000  0.500
Hf  0.500  0.000  0.000
Au  0.000  0.000  0.000
Bi  0.500  0.500  0.500

Results
As for the density: 11444 kg/m3. Its formation energy is 0.452 eV/atom.

This record from the Alexandria database describes a relaxed structure of Sc3RuC4. The functional is PBE.

abc: 3.330 4.507 6.817
angles: 109.31 104.13 90.00
Sites, in units of the cell vectors:
C  0.371  0.212  0.742
C  0.371  0.529  0.742
Sc  0.811  0.811  0.621
Ru  0.500  0.000  0.000
C  0.629  0.788  0.258
Sc  0.189  0.189  0.379
Sc  0.000  0.500  0.000
C  0.629  0.471  0.258

Results
As for the density: 5056 kg/m3. Its formation energy is -0.468 eV/atom.

This record from the Alexandria database describes a relaxed structure of BaBiF5. The functional is PBE.

abc: 5.433 5.433 8.273
angles: 90.16 90.16 85.01
Sites, in units of the cell vectors:
Ba  0.000  0.000  0.500
F  0.614  0.074  0.804
F  0.716  0.594  0.994
F  0.074  0.614  0.304
F  0.797  0.203  0.250
F  0.203  0.797  0.750
F  0.926  0.386  0.696
F  0.386  0.926  0.196
Bi  0.475  0.525  0.250
F  0.594  0.716  0.494
F  0.406  0.284  0.506
Bi  0.525  0.475  0.750
F  0.284  0.406  0.006
Ba  0.000  0.000  0.000

Results
As for the density: 6024 kg/m3. The calculation puts the uncorrected formation energy at -3000.9 meV per atom.

This record from the Alexandria database describes a relaxed structure of Li2CuPd. The functional is PBE.

abc: 5.335 5.090 5.269
angles: 76.63 59.58 62.82
Sites, in units of the cell vectors:
Li  0.301  0.243  0.901
Pd  0.795  0.250  0.410
Cu  0.290  0.250  0.419
Li  0.798  0.257  0.901
Li  0.202  0.743  0.099
Pd  0.205  0.750  0.590
Li  0.699  0.757  0.099
Cu  0.710  0.750  0.581

Results
As for the density: 5562 kg/m3. Its formation energy is -0.244 eV/atom.